1.
The following is a DFT calculation (GGA-PBE) of a geometry-optimized PmSmSc2Se4 structure.

Values from the calculation:
Total magnetic moment   0.00 μB per atom
Formation energy from raw total energies   -1698 meV/atom
Total energy   -49.7 eV for the cell shown
N(E_F)   4.630 states/eV/cell

a b c (Å): 6.920 3.973 7.113
angles (deg): 90.00 108.79 90.00
Fractional coordinates of all 8 atoms:
Pm 0.000 0.000 0.000
Sm 0.500 0.500 0.000
Sc 0.000 0.500 0.500
Sc 0.500 0.000 0.500
Se 0.242 0.000 0.725
Se 0.260 0.500 0.276
Se 0.740 0.500 0.724
Se 0.758 0.000 0.275

2.
The following is a DFT calculation (GGA-PBE) of a geometry-optimized SrPmSc4Se8 structure.

Values from the calculation:
Total magnetic moment   0.00 μB per atom
Formation energy from raw total energies   -1655 meV/atom
Total energy   -82.8 eV for the cell shown
N(E_F)   6.559 states/eV/cell

a b c (Å): 8.378 8.378 8.378
angles (deg): 58.29 58.29 58.29
Fractional coordinates of all 14 atoms:
Sr 0.000 0.000 0.000
Pm 0.634 0.634 0.634
Sc 0.129 0.633 0.633
Sc 0.259 0.259 0.259
Sc 0.633 0.129 0.633
Sc 0.633 0.633 0.129
Se 0.380 0.380 0.868
Se 0.380 0.868 0.380
Se 0.389 0.389 0.389
Se 0.424 0.880 0.880
Se 0.862 0.862 0.862
Se 0.868 0.380 0.380
Se 0.880 0.424 0.880
Se 0.880 0.880 0.424

3.
The following is a DFT calculation (GGA-PBE) of a geometry-optimized TbPmSc2Se4 structure.

Values from the calculation:
Total magnetic moment   0.00 μB per atom
Formation energy from raw total energies   -1686 meV/atom
Total energy   -49.5 eV for the cell shown
N(E_F)   4.880 states/eV/cell

a b c (Å): 6.918 3.964 7.040
angles (deg): 90.00 108.90 90.00
Fractional coordinates of all 8 atoms:
Tb 0.000 0.000 0.000
Pm 0.500 0.500 0.000
Sc 0.000 0.500 0.500
Sc 0.500 0.000 0.500
Se 0.238 0.000 0.727
Se 0.253 0.500 0.270
Se 0.747 0.500 0.730
Se 0.762 0.000 0.273

4.
The following is a DFT calculation (GGA-PBE) of a geometry-optimized Tb3PmSc2Se6 structure.

Values from the calculation:
Total magnetic moment   0.00 μB per atom
Formation energy from raw total energies   -1710 meV/atom
Total energy   -72.7 eV for the cell shown
N(E_F)   5.831 states/eV/cell

a b c (Å): 7.012 7.012 7.000
angles (deg): 99.57 99.57 120.17
Fractional coordinates of all 12 atoms:
Tb 0.000 0.000 0.000
Tb 0.343 0.657 0.000
Tb 0.657 0.343 0.000
Pm 0.500 0.500 0.500
Sc 0.164 0.836 0.500
Sc 0.836 0.164 0.500
Se 0.069 0.420 0.256
Se 0.229 0.229 0.736
Se 0.420 0.069 0.256
Se 0.580 0.931 0.744
Se 0.771 0.771 0.264
Se 0.931 0.580 0.744

5.
The following is a DFT calculation (GGA-PBE) of a geometry-optimized PmScTeSe structure.

Values from the calculation:
Total magnetic moment   0.00 μB per atom
Formation energy from raw total energies   -1480 meV/atom
Total energy   -23.6 eV for the cell shown
N(E_F)   0.795 states/eV/cell

a b c (Å): 7.691 7.691 7.691
angles (deg): 30.39 30.39 30.39
Fractional coordinates of all 4 atoms:
Pm 0.000 0.000 0.000
Sc 0.813 0.813 0.813
Te 0.568 0.568 0.568
Se 0.413 0.413 0.413

6.
The following is a DFT calculation (GGA-PBE) of a geometry-optimized PmTh2ScSe4 structure.

Values from the calculation:
Total magnetic moment   0.00 μB per atom
Formation energy from raw total energies   -1592 meV/atom
Total energy   -52.6 eV for the cell shown
N(E_F)   5.745 states/eV/cell

a b c (Å): 6.976 4.068 7.393
angles (deg): 90.00 108.62 90.00
Fractional coordinates of all 8 atoms:
Pm 0.000 0.000 0.000
Th 0.000 0.500 0.500
Th 0.500 0.000 0.500
Sc 0.500 0.500 0.000
Se 0.258 0.500 0.236
Se 0.269 0.000 0.772
Se 0.731 0.000 0.228
Se 0.742 0.500 0.764

7.
The following is a DFT calculation (GGA-PBE) of a geometry-optimized Pm4Th3ScSe8 structure.

Values from the calculation:
Total magnetic moment   0.00 μB per atom
Formation energy from raw total energies   -1672 meV/atom
Total energy   -102.2 eV for the cell shown
N(E_F)   9.535 states/eV/cell

a b c (Å): 8.361 8.361 8.361
angles (deg): 59.56 59.56 59.56
Fractional coordinates of all 16 atoms:
Pm 0.000 0.000 0.000
Pm 0.000 0.500 0.500
Pm 0.500 0.000 0.500
Pm 0.500 0.500 0.000
Th 0.000 0.000 0.500
Th 0.000 0.500 0.000
Th 0.500 0.000 0.000
Sc 0.500 0.500 0.500
Se 0.252 0.252 0.252
Se 0.259 0.259 0.739
Se 0.259 0.739 0.259
Se 0.261 0.741 0.741
Se 0.739 0.259 0.259
Se 0.741 0.261 0.741
Se 0.741 0.741 0.261
Se 0.748 0.748 0.748

8.
The following is a DFT calculation (GGA-PBE) of a geometry-optimized Pm2Th3ScSe6 structure.

Values from the calculation:
Total magnetic moment   0.00 μB per atom
Formation energy from raw total energies   -1616 meV/atom
Total energy   -78.4 eV for the cell shown
N(E_F)   9.418 states/eV/cell

a b c (Å): 9.430 9.430 8.458
angles (deg): 106.91 106.91 25.01
Fractional coordinates of all 12 atoms:
Pm 0.165 0.165 0.331
Pm 0.835 0.835 0.669
Th 0.170 0.170 0.835
Th 0.500 0.500 0.500
Th 0.830 0.830 0.165
Sc 0.500 0.500 0.000
Se 0.001 0.001 0.771
Se 0.331 0.331 0.421
Se 0.343 0.343 0.920
Se 0.657 0.657 0.080
Se 0.669 0.669 0.579
Se 0.999 0.999 0.229

9.
The following is a DFT calculation (GGA-PBE) of a geometry-optimized Pm3ThSc2Se6 structure.

Values from the calculation:
Total magnetic moment   0.00 μB per atom
Formation energy from raw total energies   -1678 meV/atom
Total energy   -75.4 eV for the cell shown
N(E_F)   6.781 states/eV/cell

a b c (Å): 9.129 9.129 8.277
angles (deg): 102.33 102.33 25.74
Fractional coordinates of all 12 atoms:
Pm 0.000 0.000 0.000
Pm 0.341 0.341 0.668
Pm 0.659 0.659 0.332
Th 0.000 0.000 0.500
Sc 0.334 0.334 0.169
Sc 0.666 0.666 0.831
Se 0.171 0.171 0.604
Se 0.173 0.173 0.070
Se 0.490 0.490 0.241
Se 0.510 0.510 0.759
Se 0.827 0.827 0.930
Se 0.829 0.829 0.396

10.
The following is a DFT calculation (GGA-PBE) of a geometry-optimized Pm2ScTl3Se6 structure.

Values from the calculation:
Total magnetic moment   0.00 μB per atom
Formation energy from raw total energies   -1332 meV/atom
Total energy   -59.8 eV for the cell shown

a b c (Å): 7.260 7.260 8.116
angles (deg): 98.59 98.59 119.93
Fractional coordinates of all 12 atoms:
Pm 0.166 0.834 0.000
Pm 0.834 0.166 0.000
Sc 0.500 0.500 0.000
Tl 0.000 0.000 0.500
Tl 0.330 0.670 0.500
Tl 0.670 0.330 0.500
Se 0.118 0.432 0.797
Se 0.254 0.254 0.207
Se 0.432 0.118 0.797
Se 0.568 0.882 0.203
Se 0.746 0.746 0.793
Se 0.882 0.568 0.203

11.
The following is a DFT calculation (GGA-PBE) of a geometry-optimized Pm3ScTl4Se8 structure.

Values from the calculation:
Total magnetic moment   0.00 μB per atom
Formation energy from raw total energies   -1340 meV/atom
Total energy   -79.4 eV for the cell shown

a b c (Å): 9.157 9.157 9.157
angles (deg): 54.86 54.86 54.86
Fractional coordinates of all 16 atoms:
Pm 0.000 0.500 0.500
Pm 0.500 0.000 0.500
Pm 0.500 0.500 0.000
Sc 0.000 0.000 0.000
Tl 0.000 0.000 0.500
Tl 0.000 0.500 0.000
Tl 0.500 0.000 0.000
Tl 0.500 0.500 0.500
Se 0.226 0.226 0.751
Se 0.226 0.751 0.226
Se 0.249 0.774 0.774
Se 0.263 0.263 0.263
Se 0.737 0.737 0.737
Se 0.751 0.226 0.226
Se 0.774 0.249 0.774
Se 0.774 0.774 0.249

12.
The following is a DFT calculation (GGA-PBE) of a geometry-optimized PmScTl2Se4 structure.

Values from the calculation:
Total magnetic moment   0.00 μB per atom
Formation energy from raw total energies   -1303 meV/atom
Total energy   -40.2 eV for the cell shown

a b c (Å): 7.174 4.140 8.106
angles (deg): 90.00 107.10 90.00
Fractional coordinates of all 8 atoms:
Pm 0.000 0.000 0.000
Sc 0.500 0.500 0.000
Tl 0.000 0.500 0.500
Tl 0.500 0.000 0.500
Se 0.252 0.500 0.206
Se 0.284 0.000 0.802
Se 0.716 0.000 0.198
Se 0.748 0.500 0.794

13.
The following is a DFT calculation (GGA-PBE) of a geometry-optimized Pm2TmScSe4 structure.

Values from the calculation:
Total magnetic moment   0.00 μB per atom
Formation energy from raw total energies   -1727 meV/atom
Total energy   -48.1 eV for the cell shown
N(E_F)   4.055 states/eV/cell

a b c (Å): 6.970 4.006 7.232
angles (deg): 90.00 108.63 90.00
Fractional coordinates of all 8 atoms:
Pm 0.000 0.000 0.000
Pm 0.500 0.500 0.000
Tm 0.000 0.500 0.500
Sc 0.500 0.000 0.500
Se 0.248 0.000 0.730
Se 0.263 0.500 0.274
Se 0.737 0.500 0.726
Se 0.752 0.000 0.270

14.
The following is a DFT calculation (GGA-PBE) of a geometry-optimized Pm3Tm2ScSe6 structure.

Values from the calculation:
Total magnetic moment   0.00 μB per atom
Formation energy from raw total energies   -1737 meV/atom
Total energy   -71.3 eV for the cell shown
N(E_F)   5.162 states/eV/cell

a b c (Å): 9.195 9.195 8.285
angles (deg): 104.88 104.88 25.36
Fractional coordinates of all 12 atoms:
Pm 0.000 0.000 0.000
Pm 0.332 0.332 0.665
Pm 0.668 0.668 0.335
Tm 0.335 0.335 0.169
Tm 0.665 0.665 0.831
Sc 0.000 0.000 0.500
Se 0.160 0.160 0.591
Se 0.171 0.171 0.074
Se 0.497 0.497 0.267
Se 0.503 0.503 0.733
Se 0.829 0.829 0.926
Se 0.840 0.840 0.409

15.
The following is a DFT calculation (GGA-PBE) of a geometry-optimized PmTm2ScSe4 structure.

Values from the calculation:
Total magnetic moment   0.00 μB per atom
Formation energy from raw total energies   -1669 meV/atom
Total energy   -47.3 eV for the cell shown
N(E_F)   4.752 states/eV/cell

a b c (Å): 6.979 3.984 7.067
angles (deg): 90.00 108.81 90.00
Fractional coordinates of all 8 atoms:
Pm 0.000 0.000 0.000
Tm 0.500 0.000 0.500
Tm 0.500 0.500 0.000
Sc 0.000 0.500 0.500
Se 0.250 0.000 0.739
Se 0.258 0.500 0.264
Se 0.742 0.500 0.736
Se 0.750 0.000 0.261

16.
The following is a DFT calculation (GGA-PBE) of a geometry-optimized PmTm2Sc3Se6 structure.

Values from the calculation:
Total magnetic moment   0.00 μB per atom
Formation energy from raw total energies   -1650 meV/atom
Total energy   -73.4 eV for the cell shown
N(E_F)   6.630 states/eV/cell

a b c (Å): 8.887 8.887 7.996
angles (deg): 102.77 102.77 25.77
Fractional coordinates of all 12 atoms:
Pm 0.000 0.000 0.000
Tm 0.336 0.336 0.671
Tm 0.664 0.664 0.329
Sc 0.000 0.000 0.500
Sc 0.338 0.338 0.164
Sc 0.662 0.662 0.836
Se 0.166 0.166 0.589
Se 0.175 0.175 0.082
Se 0.499 0.499 0.268
Se 0.501 0.501 0.732
Se 0.825 0.825 0.918
Se 0.834 0.834 0.411

17.
The following is a DFT calculation (GGA-PBE) of a geometry-optimized PmTm2ScSe6 structure.

Values from the calculation:
Total magnetic moment   0.00 μB per atom
Formation energy from raw total energies   -1784 meV/atom
Total energy   -58.8 eV for the cell shown
N(E_F)   0.000 states/eV/cell

a b c (Å): 7.606 7.606 7.606
angles (deg): 55.71 55.71 55.71
Fractional coordinates of all 10 atoms:
Pm 0.000 0.000 0.000
Tm 0.299 0.299 0.299
Tm 0.804 0.804 0.804
Sc 0.493 0.493 0.493
Se 0.097 0.689 0.415
Se 0.219 0.586 0.886
Se 0.415 0.097 0.689
Se 0.586 0.886 0.219
Se 0.689 0.415 0.097
Se 0.886 0.219 0.586

18.
The following is a DFT calculation (GGA-PBE) of a geometry-optimized Pm3Y3ScSe8 structure.

Values from the calculation:
Total magnetic moment   0.00 μB per atom
Formation energy from raw total energies   -1835 meV/atom
Total energy   -95.4 eV for the cell shown
N(E_F)   7.270 states/eV/cell

a b c (Å): 8.249 8.249 8.249
angles (deg): 59.57 59.57 59.57
Fractional coordinates of all 15 atoms:
Pm 0.000 0.500 0.500
Pm 0.500 0.000 0.500
Pm 0.500 0.500 0.000
Y 0.000 0.000 0.500
Y 0.000 0.500 0.000
Y 0.500 0.000 0.000
Sc 0.500 0.500 0.500
Se 0.247 0.247 0.247
Se 0.251 0.743 0.743
Se 0.257 0.257 0.749
Se 0.257 0.749 0.257
Se 0.743 0.251 0.743
Se 0.743 0.743 0.251
Se 0.749 0.257 0.257
Se 0.753 0.753 0.753

19.
The following is a DFT calculation (GGA-PBE) of a geometry-optimized Pm3YSc3Se8 structure.

Values from the calculation:
Total magnetic moment   0.00 μB per atom
Formation energy from raw total energies   -1778 meV/atom
Total energy   -94.3 eV for the cell shown
N(E_F)   7.289 states/eV/cell

a b c (Å): 8.109 8.109 8.109
angles (deg): 59.09 59.09 59.09
Fractional coordinates of all 15 atoms:
Pm 0.000 0.500 0.500
Pm 0.500 0.000 0.500
Pm 0.500 0.500 0.000
Y 0.500 0.500 0.500
Sc 0.000 0.000 0.500
Sc 0.000 0.500 0.000
Sc 0.500 0.000 0.000
Se 0.229 0.754 0.754
Se 0.242 0.242 0.242
Se 0.246 0.246 0.771
Se 0.246 0.771 0.246
Se 0.754 0.229 0.754
Se 0.754 0.754 0.229
Se 0.758 0.758 0.758
Se 0.771 0.246 0.246

20.
The following is a DFT calculation (GGA-PBE) of a geometry-optimized Pm2YScSe4 structure.

Values from the calculation:
Total magnetic moment   0.00 μB per atom
Formation energy from raw total energies   -1745 meV/atom
Total energy   -50.2 eV for the cell shown
N(E_F)   4.518 states/eV/cell

a b c (Å): 7.036 4.037 7.211
angles (deg): 90.00 108.80 90.00
Fractional coordinates of all 8 atoms:
Pm 0.000 0.000 0.000
Pm 0.500 0.500 0.000
Y 0.000 0.500 0.500
Sc 0.500 0.000 0.500
Se 0.252 0.000 0.734
Se 0.265 0.500 0.271
Se 0.735 0.500 0.729
Se 0.748 0.000 0.266